The following is a DFT calculation (PBE) of crystalline PmPr5Nd2Dy at its relaxed geometry.

```
PmPr5Nd2Dy
1.0
8.889 0.000 0.000
0.000 8.889 0.000
-4.445 -4.445 8.139
Dy Pm Pr Nd
2 2 10 4
Direct
0.250 0.750 0.500
0.750 0.250 0.500
0.250 0.250 0.500
0.750 0.750 0.500
0.930 0.430 0.281
0.570 0.648 0.719
0.352 0.852 0.281
0.148 0.070 0.719
0.500 0.500 0.000
0.000 0.000 0.000
0.648 0.148 0.719
0.852 0.930 0.281
0.070 0.570 0.719
0.430 0.352 0.281
0.382 0.882 0.000
0.618 0.118 0.000
0.118 0.382 0.000
0.882 0.618 0.000
```

Values from the calculation:
The space group is No. 140. The final energy is -4.48 eV per atom. The crystal system is tetragonal. For the formation energy, the calculation gives 269 meV/atom. The total magnetic moment comes out at 0.00 μB/f.u.